Entry 1:
DFT (PBE) results for a relaxed Pa2CoIrN5 crystal.

Unit cell a=6.654 b=6.654 c=10.087 alpha=90.00 beta=90.00 gamma=151.35
Positions (direct):
Pa 0.097 0.903 0.500
Pa 0.162 0.838 0.132
Pa 0.838 0.162 0.632
Pa 0.903 0.097 0.000
Co 0.213 0.787 0.869
Co 0.787 0.213 0.369
Ir 0.470 0.530 0.270
Ir 0.530 0.470 0.770
N 0.072 0.928 0.885
N 0.273 0.727 0.482
N 0.331 0.669 0.162
N 0.366 0.634 0.819
N 0.475 0.525 0.588
N 0.525 0.475 0.088
N 0.634 0.366 0.319
N 0.669 0.331 0.662
N 0.727 0.273 0.982
N 0.928 0.072 0.385

N(E_F): 5.87 states/eV per cell
space-group type: Cmc2_1 (36)
final energy: -165.1 eV per cell
magnetization: 2.49 μB/cell



Entry 2:
DFT (PBE) results for a relaxed Co2IrPdN crystal.

Unit cell a=3.880 b=3.880 c=3.978 alpha=90.00 beta=90.00 gamma=90.00
Positions (direct):
Co 0.000 0.500 0.000
Co 0.500 0.000 0.000
Ir 0.000 0.000 0.500
Pd 0.500 0.500 0.500
N 0.000 0.000 0.000

N(E_F): 4.01 states/eV per cell
space-group type: P4/mmm (123)
final energy: -35.6 eV per cell
magnetization: 3.64 μB/cell



Entry 3:
DFT (PBE) results for a relaxed CoIr2PtN crystal.

Unit cell a=4.775 b=4.775 c=3.216 alpha=90.00 beta=90.00 gamma=90.00
Positions (direct):
Co 0.000 0.000 0.000
Ir 0.000 0.500 0.000
Ir 0.500 0.000 0.000
Pt 0.500 0.500 0.500
N 0.000 0.000 0.500

N(E_F): 7.61 states/eV per cell
space-group type: P4/mmm (123)
final energy: -33.3 eV per cell
magnetization: 1.56 μB/cell



Entry 4:
DFT (PBE) results for a relaxed Co2IrRuN crystal.

Unit cell a=3.841 b=3.841 c=3.951 alpha=90.00 beta=90.00 gamma=90.00
Positions (direct):
Co 0.000 0.500 0.000
Co 0.500 0.000 0.000
Ir 0.000 0.000 0.500
Ru 0.500 0.500 0.500
N 0.500 0.500 0.000

N(E_F): 7.77 states/eV per cell
space-group type: P4/mmm (123)
final energy: -39.3 eV per cell
magnetization: 3.86 μB/cell



Entry 5:
DFT (PBE) results for a relaxed CoIrS2N crystal.

Unit cell a=4.575 b=4.575 c=3.285 alpha=90.00 beta=90.00 gamma=90.00
Positions (direct):
Co 0.000 0.000 0.000
Ir 0.500 0.500 0.500
S 0.000 0.500 0.000
S 0.500 0.000 0.000
N 0.000 0.000 0.500

distance to the lowest polymorph of the same formula: 0.0 meV/atom
N(E_F): 3.03 states/eV per cell
space-group type: P4/mmm (123)
final energy: -28.5 eV per cell
magnetization: 0.00 μB/cell



Entry 6:
DFT (PBE) results for a relaxed CoIrS2N crystal.

Unit cell a=4.864 b=4.864 c=3.626 alpha=90.00 beta=90.00 gamma=90.00
Positions (direct):
Co 0.000 0.000 0.000
Ir 0.500 0.500 0.500
S 0.000 0.500 0.500
S 0.500 0.000 0.500
N 0.500 0.500 0.000

distance to the lowest polymorph of the same formula: 18.0 meV/atom
N(E_F): 2.90 states/eV per cell
space-group type: P4/mmm (123)
final energy: -28.4 eV per cell
magnetization: 2.75 μB/cell



Q: The lowest N(E_F) belongs to which entry?
A: number 6